KMg6Cu | Alexandria | PBE | relaxed; E above lowest polymorph = 0.0 kJ/mol of atoms; total magnetic moment = 0.000 μB/atom; DOS at the Fermi energy = 3.3 states/eV per cell; ΔE_f = 18 kJ/mol of atoms
1.0
1.067 7.062 -3.412
-1.904 -7.120 -2.885
-4.422 0.948 0.579
Mg Cu K
6 1 1
Cartesian
-2.181 1.582 -1.296
-0.367 -0.740 -1.590
-1.543 5.631 -3.052
0.154 2.705 -3.250
-2.608 1.553 -4.506
-0.774 -0.769 -4.654
-1.608 -5.709 -2.938
-3.266 -2.592 -2.747

=====

GdTlCuNi | Alexandria | PBE | relaxed; total magnetic moment = 1.805 μB/atom; DOS at the Fermi energy = 3.6 states/eV per cell; ΔE_f = -14 kJ/mol of atoms
1.0
-0.233 -1.894 4.324
-1.901 -4.285 0.604
2.756 -3.671 1.124
Gd Ni Cu Tl
1 1 1 1
Cartesian
0.311 -4.925 3.026
0.155 -2.463 1.513
0.466 -7.388 4.538
0.000 0.000 0.000

=====

Ba2Tl4In3Ag | Alexandria | PBE | relaxed; total magnetic moment = 0.000 μB/atom; DOS at the Fermi energy = 4.4 states/eV per cell; ΔE_f = -24 kJ/mol of atoms
1.0
5.083 0.000 0.000
0.000 5.083 0.000
0.000 0.000 12.346
In Ag Tl Ba
3 1 4 2
Cartesian
2.541 0.000 10.642
0.000 2.541 1.704
0.000 0.000 6.173
2.541 2.541 6.173
2.541 0.000 7.722
0.000 0.000 0.000
0.000 2.541 4.624
2.541 2.541 0.000
2.541 0.000 3.142
0.000 2.541 9.204

=====

Tb2TmPb3 | Alexandria | PBE | relaxed; E above lowest polymorph = 46.3 kJ/mol of atoms; total magnetic moment = 0.000 μB/atom; DOS at the Fermi energy = 13.3 states/eV per cell; ΔE_f = -1 kJ/mol of atoms
1.0
-0.154 6.100 0.525
-6.728 0.375 -6.324
-2.581 -0.826 8.835
Pb Tb Tm
6 4 2
Cartesian
-8.012 2.625 2.400
-4.056 3.041 -1.309
-1.525 5.992 0.892
-2.711 2.651 3.611
-5.481 5.571 4.600
-6.827 5.960 -0.320
-5.685 2.500 4.503
-7.076 2.903 -0.584
-2.461 5.709 3.875
-3.852 6.112 -1.211
-7.873 5.684 2.604
-1.664 2.931 0.688

=====

PaAg2Te3 | Alexandria | PBE | relaxed; E_form (uncorrected) = -2.57 eV/f.u.; total magnetic moment = 0.168 μB/atom; DOS at the Fermi energy = 10.7 states/eV per cell
1.0
4.491 0.000 0.000
0.000 7.198 -0.974
0.000 -4.439 12.270
Te Ag Pa
6 4 2
Cartesian
1.123 3.488 8.689
3.368 -0.729 2.607
3.368 3.264 4.628
3.368 0.328 9.933
1.123 2.431 1.363
1.123 -0.505 6.668
3.368 3.865 0.460
1.123 2.371 6.152
3.368 0.388 5.144
1.123 -1.106 10.836
1.123 4.874 3.045
3.368 -2.115 8.251

=====

Pm2ZnGa3Cu4 | Alexandria | PBE | relaxed; total magnetic moment = 0.000 μB/atom; DOS at the Fermi energy = 6.2 states/eV per cell; ΔE_f = -38 kJ/mol of atoms
1.0
-3.324 2.368 -1.065
0.842 -0.653 -4.081
-5.841 -8.155 0.100
Ga Cu Pm Zn
3 4 2 1
Cartesian
-2.921 -4.077 0.050
-6.746 -5.912 -0.446
-0.337 -1.385 -2.028
-1.241 0.858 -2.573
-1.735 -3.337 -2.004
-5.347 -3.960 -0.470
0.000 0.000 0.000
-3.985 -6.478 -1.966
-3.097 -0.819 -0.508
-4.162 -3.220 -2.523